VASP calculation (PBE+U) on an optimized crystal structure of MgFe3O.

abc: 4.155 4.155 4.155
angles: 90.00 90.00 90.00
Fractional positions:
Mg (0.000, 0.000, 0.000)
Fe (0.000, 0.500, 0.500)
Fe (0.500, 0.000, 0.500)
Fe (0.500, 0.500, 0.000)
O (0.500, 0.500, 0.500)

## Properties
The value obtained for the calculated volume is 71.7 Å³ per cell. The density of states at the Fermi level comes out at 4.79 states/eV/cell. The calculation puts the energy above the most stable polymorph in this dataset at 0.00 eV/f.u.